No. 1
# BaCd3Rh

A geometry-optimized BaCd3Rh structure (GGA-PBE, the Alexandria database).

The structure in POSCAR format:
```
BaCd3Rh
1.0
6.0341 0.0000 0.0000
0.0000 9.3303 0.0000
0.0000 0.0000 9.0947
Rh Ba Cd
4 4 12
Cartesian
0.0000 0.0000 4.5473
3.0171 4.6651 0.0000
3.0171 0.0000 0.0000
0.0000 4.6651 4.5473
4.4626 2.3326 3.3867
4.5886 6.9977 7.9340
1.5716 6.9977 5.7080
1.4455 2.3326 1.1607
0.8537 0.6086 7.3256
2.1633 5.2737 2.7782
2.1633 8.7217 2.7782
5.1804 5.2737 1.7691
5.1804 8.7217 1.7691
3.8708 4.0566 6.3165
3.8708 0.6086 6.3165
0.8537 4.0566 7.3256
4.4985 2.3326 8.6733
4.5527 6.9977 4.1260
1.5356 6.9977 0.4214
1.4815 2.3326 4.9687
```

Summary:
- Polymorph energy (0 for the lowest one): 115 meV/atom
- SG: No. 62
- Formation energy from the elements: -0.15 eV per atom
- Raw total energy: -12.75 eV per formula unit

No. 2
# BaCd9Rh3

A geometry-optimized BaCd9Rh3 structure (GGA-PBE, the Alexandria database).

The structure in POSCAR format:
```
BaCd9Rh3
1.0
-2.2682 5.2978 0.6557
-7.1837 -0.2171 2.0862
0.7995 2.6526 6.9864
Ba Cd Rh
1 9 3
Cartesian
0.0000 0.0000 0.0000
-6.6083 5.6766 7.4737
-2.0442 2.0566 2.2546
-2.1350 4.7075 6.1752
-6.5174 3.0257 3.5531
-3.5680 4.2896 3.5795
-5.0845 3.4437 6.1488
-4.5204 0.7937 3.8580
-4.1321 6.9395 5.8703
-3.5918 -0.1086 1.0431
-4.7260 2.5403 1.3710
0.3997 1.3263 3.4932
-0.7344 3.9752 3.8211
```

Summary:
- SG: No. 12
- Formation energy from the elements: -0.19 eV per atom
- Raw total energy: -34.66 eV per formula unit

No. 3
# BaCd2Rh2

A geometry-optimized BaCd2Rh2 structure (GGA-PBE, the Alexandria database).

The structure in POSCAR format:
```
BaCd2Rh2
1.0
-5.7692 2.5440 -5.3015
-5.8379 -3.3678 4.7369
-0.2691 2.7027 1.5898
Rh Ba Cd
4 2 4
Cartesian
-5.0121 -0.4716 3.0681
-8.8455 0.2531 1.1872
-6.8641 2.3505 -2.0428
-3.0308 1.6258 -0.1619
0.0000 0.0000 0.0000
-5.8036 -0.4119 -0.2823
-7.2725 -1.9929 2.1567
-8.6967 0.1216 -1.6790
-4.3346 1.1691 -2.7213
-2.9104 -0.9454 1.1144
```

Summary:
- Polymorph energy (0 for the lowest one): 149 meV/atom
- SG: No. 127
- Formation energy from the elements: -0.04 eV per atom
- Raw total energy: -18.67 eV per formula unit

No. 4
# BaCd2Rh

A geometry-optimized BaCd2Rh structure (GGA-PBE, the Alexandria database).

The structure in POSCAR format:
```
BaCd2Rh
1.0
5.2701 0.0000 0.0000
0.0000 5.2701 0.0000
2.6351 2.6351 9.4037
Rh Ba Cd
2 2 4
Cartesian
2.6351 2.6351 0.0000
2.6351 5.2701 4.7018
0.0000 0.0000 0.0000
5.2701 2.6351 4.7018
2.8206 1.3175 2.3509
2.4496 3.9526 2.3509
3.9526 5.0847 7.0528
6.5877 5.4556 7.0528
```

Summary:
- SG: No. 122
- Formation energy from the elements: -0.01 eV per atom
- Raw total energy: -11.15 eV per formula unit

No. 5
# BaCd2Rh2

A geometry-optimized BaCd2Rh2 structure (GGA-PBE, the Alexandria database).

The structure in POSCAR format:
```
BaCd2Rh2
1.0
4.4782 0.0000 0.0000
0.0000 5.2396 0.0030
-2.2391 -1.5043 5.4108
Ba Cd Rh
1 2 2
Cartesian
0.0000 0.0000 0.0000
0.0000 1.2250 3.6633
2.2391 2.5103 1.7506
2.2391 -0.0979 2.6172
0.0000 3.8332 2.7966
```

Summary:
- Polymorph energy (0 for the lowest one): 0 meV/atom
- SG: No. 12
- Formation energy from the elements: -0.19 eV per atom
- Raw total energy: -19.41 eV per formula unit

No. 6
# BaCd2Rh

A geometry-optimized BaCd2Rh structure (GGA-PBE, the Alexandria database).

The structure in POSCAR format:
```
BaCd2Rh
1.0
-4.2404 -0.0633 -4.5020
-5.3205 -3.3070 5.0579
-5.1387 15.3405 4.6246
Ba Cd Rh
8 16 8
Cartesian
-3.9891 1.2512 -0.1739
-9.9272 3.0221 1.1459
-10.7105 10.7190 5.3545
-4.7724 8.9481 4.0346
-6.6739 5.2179 -0.4046
-5.7007 -0.9216 3.0134
-8.0257 6.7523 5.5851
-8.9989 12.8918 2.1671
-5.4258 2.9736 -3.0672
-8.4645 1.3001 4.0669
-7.1914 10.2909 6.2682
-8.3175 9.3759 3.0932
-9.2738 8.9966 8.2478
-6.2351 10.6702 1.1136
-7.5082 1.6793 -1.0876
-6.3821 2.5944 2.0873
-6.5982 -1.1858 -0.5042
-5.8944 5.4803 2.9877
-6.1082 14.3949 3.7899
-10.7984 5.2510 4.0877
-8.1014 13.1560 5.6848
-8.8052 6.4899 2.1928
-8.5914 -2.4247 1.3906
-3.9012 6.7193 1.0929
-3.8569 3.8969 1.6950
-8.0327 0.4067 1.4288
-10.8427 8.0734 3.4856
-6.6669 11.5635 3.7518
-5.8778 0.1717 -2.8665
-8.2763 4.0981 3.5861
-8.8219 11.7986 8.0470
-6.4233 7.8722 1.5945
```

Summary:
- SG: No. 62
- Formation energy from the elements: -0.30 eV per atom
- Raw total energy: -12.31 eV per formula unit

No. 7
# BaCd3Rh

A geometry-optimized BaCd3Rh structure (GGA-PBE, the Alexandria database).

The structure in POSCAR format:
```
BaCd3Rh
1.0
5.3663 0.0000 3.8078
-2.6831 4.6473 3.8078
-2.6831 -4.6473 3.8078
Rh Ba Cd
2 2 6
Cartesian
0.0000 0.0000 2.8559
0.0000 0.0000 8.5677
0.0000 0.0000 0.0000
0.0000 0.0000 5.7118
3.0539 1.3350 6.6637
-0.3708 -3.3123 6.6637
-2.6831 1.9773 6.6637
2.6831 -1.9773 4.7598
0.3708 3.3123 4.7598
-3.0539 -1.3350 4.7598
```

Summary:
- Polymorph energy (0 for the lowest one): 323 meV/atom
- SG: No. 167
- Formation energy from the elements: 0.06 eV per atom
- Raw total energy: -11.71 eV per formula unit

No. 8
# BaCd3Rh

A geometry-optimized BaCd3Rh structure (GGA-PBE, the Alexandria database).

The structure in POSCAR format:
```
BaCd3Rh
1.0
-3.6319 3.5335 -2.8387
-3.4732 -4.5068 -1.1662
-8.1423 1.0395 5.7692
Rh Ba Cd
2 2 6
Cartesian
0.0000 0.0000 0.0000
-7.5840 -1.9770 1.3003
-9.4061 2.6226 3.4149
-5.9206 1.4637 -2.4869
-7.3567 -1.4793 -1.2999
-7.8504 -0.4931 3.4882
-9.5624 -2.7145 2.9134
-5.5665 -3.2210 0.0994
-5.5947 0.1924 1.4555
-9.6527 -0.1262 0.3088
```

Summary:
- Polymorph energy (0 for the lowest one): 109 meV/atom
- SG: No. 119
- Formation energy from the elements: -0.15 eV per atom
- Raw total energy: -12.78 eV per formula unit

No. 9
# BaCd4Rh

A geometry-optimized BaCd4Rh structure (GGA-PBE, the Alexandria database).

The structure in POSCAR format:
```
BaCd4Rh
1.0
-4.7221 2.0068 0.5286
-2.0658 -4.4209 -1.6711
-0.2830 -2.6688 7.3820
Ba Cd Rh
1 4 1
Cartesian
-2.3610 1.0034 0.2643
-1.0838 -2.6759 0.4547
-5.9871 -2.4070 5.7848
-0.1415 -1.3344 3.6910
-3.5354 -2.5415 3.1197
-1.1744 -3.5448 2.8555
```

Summary:
- Polymorph energy (0 for the lowest one): 248 meV/atom
- SG: No. 2
- Formation energy from the elements: -0.01 eV per atom
- Raw total energy: -13.02 eV per formula unit

No. 10
# BaCd3Rh

A geometry-optimized BaCd3Rh structure (GGA-PBE, the Alexandria database).

The structure in POSCAR format:
```
BaCd3Rh
1.0
-3.4583 1.5347 9.1915
-8.8700 4.2866 1.3214
-7.6543 -5.3593 3.3893
Rh Ba Cd
4 4 12
Cartesian
-2.4978 0.0577 1.7378
-6.9328 2.2011 2.3985
-4.2270 0.8251 6.3335
-6.3250 -2.6219 3.4324
-12.4891 0.2887 8.6888
-8.0541 -1.8546 8.0282
-10.7600 -0.4786 4.0931
-8.6620 2.9684 6.9942
-5.8406 1.0593 8.3745
-7.3780 -0.3599 2.6586
-5.8479 2.1541 4.7744
-2.6133 0.5909 4.2925
-4.5867 1.5944 1.4226
-10.7037 -2.3457 10.5278
-5.4045 -1.3634 5.5285
-4.1434 -1.9231 2.1767
-9.2789 2.8077 3.3743
-14.1420 -0.5973 5.5277
-8.5065 -3.3207 4.6882
-11.4761 3.7827 9.2140
```

Summary:
- Polymorph energy (0 for the lowest one): 286 meV/atom
- SG: No. 227
- Formation energy from the elements: 0.03 eV per atom
- Raw total energy: -11.89 eV per formula unit

No. 11
# BaCdRh2

A geometry-optimized BaCdRh2 structure (GGA-PBE, the Alexandria database).

The structure in POSCAR format:
```
BaCdRh2
1.0
-3.2074 -0.0042 -1.2179
0.5854 -3.0138 -1.5314
-2.4111 -3.7012 6.3623
Ba Cd Rh
1 1 2
Cartesian
-1.1275 -1.7308 2.9752
-3.2834 -4.5368 3.8302
-0.0969 -0.1488 0.2557
-1.7307 -2.1534 -0.2669
```

Summary:
- SG: No. 99
- Formation energy from the elements: 0.11 eV per atom
- Raw total energy: -17.10 eV per formula unit

No. 12
# Ba4CdRh

A geometry-optimized Ba4CdRh structure (GGA-PBE, the Alexandria database).

The structure in POSCAR format:
```
Ba4CdRh
1.0
7.1776 0.4607 -1.2773
-2.4144 7.9178 -3.0203
0.2156 -0.2741 8.8047
Ba Cd Rh
8 2 2
Cartesian
5.1603 5.2233 3.8901
-1.9619 7.4058 -0.5436
3.8202 1.8258 1.8344
1.5747 6.0039 -2.3014
3.4042 2.1005 6.8086
1.1587 6.2786 2.6728
6.9408 0.6986 5.0508
-0.1814 2.8811 0.6171
3.9393 5.2406 0.3850
1.0396 2.8638 4.1221
-0.6167 8.0227 -3.3247
5.5956 0.0817 7.8318
```

Summary:
- Polymorph energy (0 for the lowest one): 0 meV/atom
- SG: No. 15
- Formation energy from the elements: -0.18 eV per atom
- Raw total energy: -17.06 eV per formula unit